A plane-wave DFT calculation with PBE-GGA was carried out for a relaxed structure of UTaAs2.

Results
Space-group type   No. 160
Distance to the lowest polymorph of the same formula   0.0 meV/atom
Formation energy   -0.487 eV per atom
Total DFT energy (no corrections)   -8.60 eV per atom

a = 3.6736 Å, b = 3.6736 Å, c = 21.4029 Å
α = 90.00°, β = 90.00°, γ = 120.00°
Fractional coordinates of all 12 atoms:
1 U 0.0000 0.0000 0.0000
2 U 0.3333 0.6667 0.6667
3 U 0.6667 0.3333 0.3333
4 Ta 0.0000 0.0000 0.8278
5 Ta 0.3333 0.6667 0.4944
6 Ta 0.6667 0.3333 0.1611
7 As 0.0000 0.0000 0.4230
8 As 0.0000 0.0000 0.5707
9 As 0.3333 0.6667 0.0897
10 As 0.3333 0.6667 0.2374
11 As 0.6667 0.3333 0.7564
12 As 0.6667 0.3333 0.9040